VASP calculation (PBE) on an optimized crystal structure of Sm2Al4Cu3Ag.

Summary:
- Mass density: 6.33 g cm⁻³
- Calculated volume: 185 Å³/cell
- Formation energy: -394 meV/atom

a = 4.226 Å, b = 4.226 Å, c = 10.386 Å
α = 90.00°, β = 90.00°, γ = 90.00°
Fractional positions:
Sm: 0.500 0.000 0.245
Sm: 0.000 0.500 0.755
Al: 0.500 0.500 0.000
Al: 0.000 0.000 0.000
Al: 0.500 0.000 0.640
Al: 0.000 0.500 0.360
Cu: 0.000 0.000 0.500
Cu: 0.500 0.000 0.872
Cu: 0.000 0.500 0.128
Ag: 0.500 0.500 0.500